## CaHo4Pb4 (PBE)

Data for an optimized crystal structure of CaHo4Pb4. Values from VASP.

The structure in Quantum ESPRESSO input format:
```
&SYSTEM
  ibrav = 0, nat = 18, ntyp = 3
/
ATOMIC_SPECIES
Ca 40.08 Ca.upf
Ho 164.93 Ho.upf
Pb 207.20 Pb.upf
ATOMIC_POSITIONS angstrom
Ca 0.000 0.000 0.000
Ho 2.488 6.512 1.102
Ho 0.608 8.666 3.957
Pb 0.516 1.463 2.987
Pb 5.674 7.132 1.463
Ho 3.703 9.016 6.512
Ho 5.583 6.161 8.666
Pb 2.579 3.596 2.072
Ca 3.095 5.059 5.059
Ho 5.583 3.957 1.452
Pb 0.516 8.655 7.132
Pb 3.612 2.072 6.523
Ho 3.703 1.102 3.607
Ho 2.488 3.607 9.016
Ho 0.608 1.452 6.161
Pb 3.612 8.046 3.596
Pb 2.579 6.523 8.046
Pb 5.674 2.987 8.655
CELL_PARAMETERS angstrom
6.191 0.000 0.000
0.000 10.118 0.000
0.000 0.000 10.118
```

Computed properties:
Energy in hartree per atom: -0.1535
Theoretical density in g/cm3: 8.01
Formation enthalpy at 0 K in eV per atom: -0.27
Total magnetization in Bohr magnetons per cell: 0.00